Density functional theory data (PBE) for crystalline Ca7Sn3H2 at its relaxed geometry.

a b c (Å): 4.664 4.984 13.417
angles (deg): 100.70 90.00 90.00
Atoms (fractional coordinates):
Ca 0.500 0.901 0.802
Ca 0.000 0.793 0.586
Ca 0.500 0.099 0.198
H 0.000 0.090 0.180
Sn 0.500 0.500 0.000
Ca 0.000 0.600 0.201
Ca 0.000 0.000 0.000
Sn 0.500 0.315 0.631
Sn 0.500 0.685 0.369
H 0.000 0.910 0.820
Ca 0.000 0.400 0.799
Ca 0.000 0.207 0.414

Output
**Symmetry**: Cmmm (65)
**Raw total energy**: -3.247 eV/atom